## A
Density functional theory data (PBE) for a relaxed structure of SrCa2Pt.

Output
Space-group type ... No. 62
Density of states at the Fermi level ... 0.7080 states/eV/atom
Calculated volume ... 518 Å³/cell

CIF file:
```
data_SrCa2Pt
_cell_length_a 7.980
_cell_length_b 9.752
_cell_length_c 6.657
_cell_angle_alpha 90.00
_cell_angle_beta 90.00
_cell_angle_gamma 90.00
_symmetry_space_group_name_H-M 'P 1'
_symmetry_Int_Tables_number 1
_symmetry_space_group_name_Hall 'P 1'
loop_
_atom_site_label
_atom_site_type_symbol
_atom_site_fract_x
_atom_site_fract_y
_atom_site_fract_z
_atom_site_occupancy
Sr1 Sr 0.038 0.250 0.133 1
Sr2 Sr 0.462 0.750 0.633 1
Sr3 Sr 0.538 0.250 0.367 1
Sr4 Sr 0.962 0.750 0.867 1
Ca1 Ca 0.168 0.067 0.656 1
Ca2 Ca 0.168 0.433 0.656 1
Ca3 Ca 0.332 0.567 0.156 1
Ca4 Ca 0.332 0.933 0.156 1
Ca5 Ca 0.668 0.067 0.844 1
Ca6 Ca 0.668 0.433 0.844 1
Ca7 Ca 0.832 0.567 0.344 1
Ca8 Ca 0.832 0.933 0.344 1
Pt1 Pt 0.120 0.750 0.429 1
Pt2 Pt 0.380 0.250 0.929 1
Pt3 Pt 0.620 0.750 0.071 1
Pt4 Pt 0.880 0.250 0.571 1
```


## B
Density functional theory data (PBE) for a relaxed structure of SrCa2Pt.

Output
Space-group type ... No. 122
Density of states at the Fermi level ... 0.4919 states/eV/atom
Calculated volume ... 293 Å³/cell

CIF file:
```
data_SrCa2Pt
_cell_length_a 7.518
_cell_length_b 7.518
_cell_length_c 7.518
_cell_angle_alpha 100.10
_cell_angle_beta 100.10
_cell_angle_gamma 130.49
_symmetry_space_group_name_H-M 'P 1'
_symmetry_Int_Tables_number 1
_symmetry_space_group_name_Hall 'P 1'
loop_
_atom_site_label
_atom_site_type_symbol
_atom_site_fract_x
_atom_site_fract_y
_atom_site_fract_z
_atom_site_occupancy
Sr1 Sr 0.000 0.000 0.000 1
Sr2 Sr 0.750 0.250 0.500 1
Ca1 Ca 0.237 0.125 0.612 1
Ca2 Ca 0.375 0.763 0.888 1
Ca3 Ca 0.513 0.625 0.388 1
Ca4 Ca 0.875 0.487 0.112 1
Pt1 Pt 0.250 0.750 0.500 1
Pt2 Pt 0.500 0.500 0.000 1
```


Least stable of them? B.


## A
Density functional theory data (PBE) for a relaxed structure of SrCa2Pt.

Output
Space-group type ... No. 225
Density of states at the Fermi level ... 1.2733 states/eV/atom
Calculated volume ... 111 Å³/cell

CIF file:
```
data_SrCa2Pt
_cell_length_a 5.389
_cell_length_b 5.389
_cell_length_c 5.389
_cell_angle_alpha 60.00
_cell_angle_beta 60.00
_cell_angle_gamma 60.00
_symmetry_space_group_name_H-M 'P 1'
_symmetry_Int_Tables_number 1
_symmetry_space_group_name_Hall 'P 1'
loop_
_atom_site_label
_atom_site_type_symbol
_atom_site_fract_x
_atom_site_fract_y
_atom_site_fract_z
_atom_site_occupancy
Sr1 Sr 0.000 0.000 0.000 1
Ca1 Ca 0.250 0.250 0.250 1
Ca2 Ca 0.750 0.750 0.750 1
Pt1 Pt 0.500 0.500 0.500 1
```


## B
Density functional theory data (PBE) for a relaxed structure of SrCa2Pt.

Output
Space-group type ... No. 123
Density of states at the Fermi level ... 0.5668 states/eV/atom
Calculated volume ... 132 Å³/cell

CIF file:
```
data_SrCa2Pt
_cell_length_a 3.676
_cell_length_b 3.676
_cell_length_c 9.737
_cell_angle_alpha 90.00
_cell_angle_beta 90.00
_cell_angle_gamma 90.00
_symmetry_space_group_name_H-M 'P 1'
_symmetry_Int_Tables_number 1
_symmetry_space_group_name_Hall 'P 1'
loop_
_atom_site_label
_atom_site_type_symbol
_atom_site_fract_x
_atom_site_fract_y
_atom_site_fract_z
_atom_site_occupancy
Sr1 Sr 0.000 0.000 0.000 1
Ca1 Ca 0.500 0.500 0.334 1
Ca2 Ca 0.500 0.500 0.666 1
Pt1 Pt 0.000 0.000 0.500 1
```


## C
Density functional theory data (PBE) for a relaxed structure of SrCa2Pt.

Output
Space-group type ... No. 6
Density of states at the Fermi level ... 0.8242 states/eV/atom
Calculated volume ... 134 Å³/cell

CIF file:
```
data_SrCa2Pt
_cell_length_a 3.713
_cell_length_b 3.710
_cell_length_c 9.702
_cell_angle_alpha 90.00
_cell_angle_beta 90.18
_cell_angle_gamma 90.00
_symmetry_space_group_name_H-M 'P 1'
_symmetry_Int_Tables_number 1
_symmetry_space_group_name_Hall 'P 1'
loop_
_atom_site_label
_atom_site_type_symbol
_atom_site_fract_x
_atom_site_fract_y
_atom_site_fract_z
_atom_site_occupancy
Sr1 Sr 0.000 0.000 0.000 1
Ca1 Ca 0.497 0.500 0.342 1
Ca2 Ca 0.997 0.000 0.652 1
Pt1 Pt 0.499 0.500 0.810 1
```


## D
Density functional theory data (PBE) for a relaxed structure of SrCa2Pt.

Output
Space-group type ... No. 63
Density of states at the Fermi level ... 0.4684 states/eV/atom
Calculated volume ... 263 Å³/cell

CIF file:
```
data_SrCa2Pt
_cell_length_a 6.900
_cell_length_b 6.900
_cell_length_c 9.437
_cell_angle_alpha 90.00
_cell_angle_beta 90.00
_cell_angle_gamma 144.19
_symmetry_space_group_name_H-M 'P 1'
_symmetry_Int_Tables_number 1
_symmetry_space_group_name_Hall 'P 1'
loop_
_atom_site_label
_atom_site_type_symbol
_atom_site_fract_x
_atom_site_fract_y
_atom_site_fract_z
_atom_site_occupancy
Sr1 Sr 0.072 0.928 0.750 1
Sr2 Sr 0.928 0.072 0.250 1
Ca1 Ca 0.344 0.656 0.566 1
Ca2 Ca 0.344 0.656 0.934 1
Ca3 Ca 0.656 0.344 0.066 1
Ca4 Ca 0.656 0.344 0.434 1
Pt1 Pt 0.252 0.748 0.250 1
Pt2 Pt 0.748 0.252 0.750 1
```


Least stable of them? A.